DFT (PBE) results for a relaxed Sm3HoRu8 crystal.

Lattice parameters (Å, degrees): 5.3653 5.3653 9.3478 73.32 73.32 60.00
Last column: nearest neighbours and their distance in Å.
Fractional positions:
Sm: 0.3741 0.3741 0.8778  12 Ru 3.13-3.18, 4 Sm 3.29-3.31
Sm: 0.9990 0.9990 0.0029  12 Ru 3.15-3.19, 3 Sm 3.29, 1 Ho 3.30
Sm: 0.4990 0.4990 0.5029  12 Ru 3.13-3.16, 3 Ho 3.29, 1 Sm 3.31
Ho: 0.8744 0.8744 0.3767  12 Ru 3.13-3.14, 4 Sm 3.29-3.30
Ru: 0.9291 0.4399 0.1910  6 Ru 2.62-2.76
Ru: 0.4344 0.9399 0.6858  6 Ru 2.65-2.73
Ru: 0.4399 0.4399 0.1910  6 Ru 2.62-2.76
Ru: 0.9399 0.9399 0.6858  6 Ru 2.65-2.73
Ru: 0.1903 0.1903 0.4292  6 Ru 2.63-2.73
Ru: 0.6900 0.6900 0.9299  6 Ru 2.66-2.76
Ru: 0.4399 0.9291 0.1910  6 Ru 2.62-2.76
Ru: 0.9399 0.4344 0.6858  6 Ru 2.65-2.73

E_tot = -95.65 eV per cell
Calculated volume = 18.322 Å³/atom
Space-group type = No. 160
Formation energy from the elements = -2.71 eV per formula unit